This record from Alexandria describes a relaxed structure of TiVIrO6. The functional is GGA+U.

Cell and atoms, written as extended XYZ:
```
18
Lattice="4.997 0.000 0.000 -2.498 4.327 0.000 0.000 0.000 8.655" Properties=species:S:1:pos:R:3 pbc="T T T"
Ir 0.000 0.000 0.000
Ir 0.000 0.000 4.328
O 0.820 4.318 3.217
O -0.831 1.459 1.111
O 4.149 1.449 5.438
O 1.650 2.878 1.111
O 0.848 1.449 7.545
O 3.318 0.010 7.545
O -0.820 4.318 1.111
O 3.329 2.869 7.545
O 1.679 0.010 5.438
O 0.831 1.459 3.217
O -1.650 2.878 3.217
O 1.668 2.869 5.438
Ti 0.000 2.885 6.491
Ti 2.498 1.442 2.164
V 0.000 2.885 2.164
V 2.498 1.442 6.491
```

The final energy is -7.80 eV per atom. As for the density of states at the Fermi level: 4.67 states/eV/f.u.